This record from the Alexandria database describes an optimized crystal structure of LiCaPb2. The functional is GGA-PBE.

Geometry as CIF:
```
data_LiCaPb2
_chemical_formula_sum 'Li2 Ca2 Pb4'
_cell_length_a 3.700
_cell_length_b 5.484
_cell_length_c 12.033
_cell_angle_alpha 90.00
_cell_angle_beta 90.00
_cell_angle_gamma 90.00
_space_group_name_H-M_alt 'I m m m'
_space_group_IT_number 71
_space_group_name_Hall '-I 2 2'
loop_
_atom_site_label
_atom_site_type_symbol
_atom_site_fract_x
_atom_site_fract_y
_atom_site_fract_z
_atom_site_occupancy
Li1 Li 0.000 0.000 0.000 1
Ca1 Ca 0.000 0.000 0.500 1
Pb1 Pb 0.000 0.000 0.222 1
```

Summary:
- energy of formation (eV/atom) = -0.021
- total energy (eV per formula unit) = -11.41


This record from the Alexandria database describes an optimized crystal structure of Li4Ca5Pb4. The functional is GGA-PBE.

Geometry as CIF:
```
data_Li4Ca5Pb4
_chemical_formula_sum 'Li8 Ca10 Pb8'
_cell_length_a 13.455
_cell_length_b 13.455
_cell_length_c 3.975
_cell_angle_alpha 90.00
_cell_angle_beta 90.00
_cell_angle_gamma 90.00
_space_group_name_H-M_alt 'I 4/m'
_space_group_IT_number 87
_space_group_name_Hall '-I 4'
loop_
_atom_site_label
_atom_site_type_symbol
_atom_site_fract_x
_atom_site_fract_y
_atom_site_fract_z
_atom_site_occupancy
Li1 Li 0.082 0.591 0.000 1
Ca1 Ca 0.000 0.000 0.500 1
Ca2 Ca 0.131 0.216 0.000 1
Pb1 Pb 0.062 0.749 0.500 1
```

Summary:
- energy of formation (eV/atom) = -0.441
- total energy (eV per formula unit) = -38.23


This record from the Alexandria database describes an optimized crystal structure of LiCa2Pb. The functional is GGA-PBE.

Geometry as CIF:
```
data_LiCa2Pb
_chemical_formula_sum 'Li1 Ca2 Pb1'
_cell_length_a 3.894
_cell_length_b 5.038
_cell_length_c 6.472
_cell_angle_alpha 90.00
_cell_angle_beta 107.38
_cell_angle_gamma 90.00
_space_group_name_H-M_alt 'P 1 m 1'
_space_group_IT_number 6
_space_group_name_Hall 'P -2y'
loop_
_atom_site_label
_atom_site_type_symbol
_atom_site_fract_x
_atom_site_fract_y
_atom_site_fract_z
_atom_site_occupancy
Li1 Li 0.000 0.000 0.000 1
Ca1 Ca 0.405 0.500 0.812 1
Ca2 Ca 0.713 0.000 0.429 1
Pb1 Pb 0.129 0.500 0.261 1
```

Summary:
- energy of formation (eV/atom) = -0.340
- total energy (eV per formula unit) = -10.99


This record from the Alexandria database describes an optimized crystal structure of LiCaPb2. The functional is GGA-PBE.

Geometry as CIF:
```
data_LiCaPb2
_chemical_formula_sum 'Li4 Ca4 Pb8'
_cell_length_a 7.732
_cell_length_b 7.732
_cell_length_c 7.732
_cell_angle_alpha 90.00
_cell_angle_beta 90.00
_cell_angle_gamma 90.00
_space_group_name_H-M_alt 'F -4 3 m'
_space_group_IT_number 216
_space_group_name_Hall 'F -4 2 3'
loop_
_atom_site_label
_atom_site_type_symbol
_atom_site_fract_x
_atom_site_fract_y
_atom_site_fract_z
_atom_site_occupancy
Li1 Li 0.000 0.000 0.000 1
Ca1 Ca 0.250 0.250 0.250 1
Pb1 Pb 0.000 0.000 0.500 1
Pb2 Pb 0.250 0.250 0.750 1
```

Summary:
- energy of formation (eV/atom) = -0.255
- total energy (eV per formula unit) = -12.35


This record from the Alexandria database describes an optimized crystal structure of LiCa5Pb6. The functional is GGA-PBE.

Geometry as CIF:
```
data_LiCa5Pb6
_chemical_formula_sum 'Li2 Ca10 Pb12'
_cell_length_a 15.868
_cell_length_b 9.285
_cell_length_c 4.988
_cell_angle_alpha 90.00
_cell_angle_beta 108.23
_cell_angle_gamma 90.00
_space_group_name_H-M_alt 'C 1 2/m 1'
_space_group_IT_number 12
_space_group_name_Hall '-C 2y'
loop_
_atom_site_label
_atom_site_type_symbol
_atom_site_fract_x
_atom_site_fract_y
_atom_site_fract_z
_atom_site_occupancy
Li1 Li 0.000 0.000 0.000 1
Ca1 Ca 0.000 0.500 0.000 1
Ca2 Ca 0.158 0.000 0.658 1
Ca3 Ca 0.169 0.500 0.669 1
Pb1 Pb 0.000 0.248 0.500 1
Pb2 Pb 0.165 0.248 0.166 1
```

Summary:
- energy of formation (eV/atom) = -0.469
- total energy (eV per formula unit) = -39.80


This record from the Alexandria database describes an optimized crystal structure of LiCaPb4. The functional is GGA-PBE.

Geometry as CIF:
```
data_LiCaPb4
_chemical_formula_sum 'Li4 Ca4 Pb16'
_cell_length_a 5.725
_cell_length_b 16.883
_cell_length_c 7.271
_cell_angle_alpha 90.00
_cell_angle_beta 90.00
_cell_angle_gamma 90.00
_space_group_name_H-M_alt 'C m c 21'
_space_group_IT_number 36
_space_group_name_Hall 'C 2c -2'
loop_
_atom_site_label
_atom_site_type_symbol
_atom_site_fract_x
_atom_site_fract_y
_atom_site_fract_z
_atom_site_occupancy
Li1 Li 0.000 0.141 0.000 1
Ca1 Ca 0.000 0.332 0.187 1
Pb1 Pb 0.000 0.020 0.711 1
Pb2 Pb 0.000 0.160 0.408 1
Pb3 Pb 0.000 0.311 0.691 1
Pb4 Pb 0.000 0.489 0.473 1
```

Summary:
- energy of formation (eV/atom) = -0.204
- total energy (eV per formula unit) = -19.97
- offset from the most stable computed form (eV per atom) = 0.0000


This record from the Alexandria database describes an optimized crystal structure of LiCa3Pb4. The functional is GGA-PBE.

Geometry as CIF:
```
data_LiCa3Pb4
_chemical_formula_sum 'Li1 Ca3 Pb4'
_cell_length_a 3.707
_cell_length_b 3.707
_cell_length_c 16.514
_cell_angle_alpha 90.00
_cell_angle_beta 90.00
_cell_angle_gamma 90.00
_space_group_name_H-M_alt 'P 4/m m m'
_space_group_IT_number 123
_space_group_name_Hall '-P 4 2'
loop_
_atom_site_label
_atom_site_type_symbol
_atom_site_fract_x
_atom_site_fract_y
_atom_site_fract_z
_atom_site_occupancy
Li1 Li 0.000 0.000 0.000 1
Ca1 Ca 0.000 0.000 0.233 1
Ca2 Ca 0.000 0.000 0.500 1
Pb1 Pb 0.500 0.500 0.100 1
Pb2 Pb 0.500 0.500 0.365 1
```

Summary:
- energy of formation (eV/atom) = -0.460
- total energy (eV per formula unit) = -26.43


This record from the Alexandria database describes an optimized crystal structure of Li7CaPb4. The functional is GGA-PBE.

Geometry as CIF:
```
data_Li7CaPb4
_chemical_formula_sum 'Li14 Ca2 Pb8'
_cell_length_a 13.115
_cell_length_b 5.133
_cell_length_c 10.191
_cell_angle_alpha 90.00
_cell_angle_beta 125.30
_cell_angle_gamma 90.00
_space_group_name_H-M_alt 'C 1 2/m 1'
_space_group_IT_number 12
_space_group_name_Hall '-C 2y'
loop_
_atom_site_label
_atom_site_type_symbol
_atom_site_fract_x
_atom_site_fract_y
_atom_site_fract_z
_atom_site_occupancy
Li1 Li 0.000 0.000 0.000 1
Li2 Li 0.070 0.500 0.367 1
Li3 Li 0.154 0.000 0.582 1
Li4 Li 0.214 0.500 0.874 1
Ca1 Ca 0.000 0.500 0.000 1
Pb1 Pb 0.077 0.000 0.795 1
Pb2 Pb 0.198 0.000 0.322 1
```

Summary:
- energy of formation (eV/atom) = -0.206
- total energy (eV per formula unit) = -32.71


The lowest total energy belongs to which entry?
LiCa5Pb6


Repeat the fifth record exactly.
This record from the Alexandria database describes an optimized crystal structure of LiCa5Pb6. The functional is GGA-PBE.

Geometry as CIF:
```
data_LiCa5Pb6
_chemical_formula_sum 'Li2 Ca10 Pb12'
_cell_length_a 15.868
_cell_length_b 9.285
_cell_length_c 4.988
_cell_angle_alpha 90.00
_cell_angle_beta 108.23
_cell_angle_gamma 90.00
_space_group_name_H-M_alt 'C 1 2/m 1'
_space_group_IT_number 12
_space_group_name_Hall '-C 2y'
loop_
_atom_site_label
_atom_site_type_symbol
_atom_site_fract_x
_atom_site_fract_y
_atom_site_fract_z
_atom_site_occupancy
Li1 Li 0.000 0.000 0.000 1
Ca1 Ca 0.000 0.500 0.000 1
Ca2 Ca 0.158 0.000 0.658 1
Ca3 Ca 0.169 0.500 0.669 1
Pb1 Pb 0.000 0.248 0.500 1
Pb2 Pb 0.165 0.248 0.166 1
```

Summary:
- energy of formation (eV/atom) = -0.469
- total energy (eV per formula unit) = -39.80


Which value of energy of formation does entry 1 give?
-0.021 eV/atom